1.
The following is a PBE-GGA calculation of a relaxed structure of Nb2VZn, from the Alexandria database.

Values from the calculation:
The value obtained for the calculated formation energy is -8.6 meV per atom. As for the space group: P4/mmm (123).

Structure (POSCAR):
```
Nb2VZn
1.0
3.268 0.000 0.000
0.000 3.268 0.000
0.000 0.000 6.045
Nb V Zn
2 1 1
Direct
0.000 0.000 0.243
0.000 0.000 0.757
0.500 0.500 0.000
0.500 0.500 0.500
```

***

2.
The following is a PBE-GGA calculation of a relaxed structure of As2IrBr, from the Alexandria database.

Values from the calculation:
As for the space group: Pmmm (47). The value obtained for the raw formation energy is 758.2 meV per atom. The relative energy among the computed polymorphs is 0.937 eV per atom.

Structure (POSCAR):
```
As2IrBr
1.0
3.180 0.000 0.000
0.000 4.622 0.000
0.000 0.000 4.889
As Ir Br
2 1 1
Direct
0.000 0.000 0.000
0.500 0.500 0.000
0.000 0.500 0.500
0.500 0.000 0.500
```

***

3.
The following is a PBE-GGA calculation of a relaxed structure of Sm2Dy6ErTm3, from the Alexandria database.

Values from the calculation:
The value obtained for the calculated formation energy is 19.3 meV per atom. As for the space group: C2/m (12).

Structure (POSCAR):
```
Sm2Dy6ErTm3
1.0
3.066 -5.304 0.000
3.066 5.304 0.000
-2.034 0.000 11.547
Sm Dy Er Tm
2 6 1 3
Direct
0.167 0.833 0.000
0.833 0.167 0.000
0.082 0.415 0.747
0.252 0.252 0.253
0.415 0.082 0.747
0.585 0.918 0.253
0.748 0.748 0.747
0.918 0.585 0.253
0.500 0.500 0.000
0.000 0.000 0.500
0.334 0.666 0.500
0.666 0.334 0.500
```

***

4.
The following is a PBE-GGA calculation of a relaxed structure of CdIrPt2, from the Alexandria database.

Values from the calculation:
The value obtained for the calculated formation energy is 49.6 meV per atom. As for the space group: I4/mmm (139).

Structure (POSCAR):
```
CdIrPt2
1.0
4.061 0.000 0.000
0.000 4.061 0.000
0.000 0.000 7.885
Cd Ir Pt
2 2 4
Direct
0.000 0.000 0.000
0.500 0.500 0.500
0.000 0.000 0.500
0.500 0.500 0.000
0.000 0.500 0.250
0.000 0.500 0.750
0.500 0.000 0.250
0.500 0.000 0.750
```

***

5.
The following is a PBE-GGA calculation of a relaxed structure of LiLuScPd, from the Alexandria database.

Values from the calculation:
The value obtained for the calculated formation energy is -447.9 meV per atom. As for the space group: F-43m (216).

Structure (POSCAR):
```
LiLuScPd
1.0
6.816 0.000 0.000
0.000 6.816 0.000
0.000 0.000 6.816
Li Lu Sc Pd
4 4 4 4
Direct
0.000 0.000 0.000
0.000 0.500 0.500
0.500 0.000 0.500
0.500 0.500 0.000
0.250 0.250 0.250
0.250 0.750 0.750
0.750 0.250 0.750
0.750 0.750 0.250
0.250 0.250 0.750
0.250 0.750 0.250
0.750 0.250 0.250
0.750 0.750 0.750
0.000 0.000 0.500
0.000 0.500 0.000
0.500 0.000 0.000
0.500 0.500 0.500
```

***

6.
The following is a PBE-GGA calculation of a relaxed structure of Rb3SbF, from the Alexandria database.

Values from the calculation:
As for the space group: R-3m (166). The value obtained for the raw formation energy is -1173.5 meV per atom. The relative energy among the computed polymorphs is 0.053 eV per atom.

Structure (POSCAR):
```
Rb3SbF
1.0
3.939 2.274 6.723
-3.939 2.274 6.723
0.000 -4.549 6.723
Rb Sb F
6 2 2
Direct
0.092 0.092 0.568
0.092 0.568 0.092
0.432 0.908 0.908
0.568 0.092 0.092
0.908 0.432 0.908
0.908 0.908 0.432
0.424 0.424 0.424
0.576 0.576 0.576
0.162 0.162 0.162
0.838 0.838 0.838
```

***

7.
The following is a PBE-GGA calculation of a relaxed structure of Rh6SO12, from the Alexandria database.

Values from the calculation:
As for the space group: R-3 (148). The value obtained for the raw formation energy is -496.7 meV per atom.

Structure (POSCAR):
```
Rh6SO12
1.0
4.462 2.576 2.827
-4.462 2.576 2.827
0.000 -5.153 2.827
Rh S O
6 1 12
Direct
0.075 0.640 0.796
0.204 0.925 0.360
0.360 0.204 0.925
0.640 0.796 0.075
0.796 0.075 0.640
0.925 0.360 0.204
0.500 0.500 0.500
0.058 0.323 0.897
0.103 0.942 0.677
0.206 0.483 0.484
0.323 0.897 0.058
0.483 0.484 0.206
0.484 0.206 0.483
0.516 0.794 0.517
0.517 0.516 0.794
0.677 0.103 0.942
0.794 0.517 0.516
0.897 0.058 0.323
0.942 0.677 0.103
```

***

8.
The following is a PBE-GGA calculation of a relaxed structure of TlAsIrBr2, from the Alexandria database.

Values from the calculation:
As for the space group: P4/mmm (123). The value obtained for the raw formation energy is -12.7 meV per atom. The relative energy among the computed polymorphs is 0.000 eV per atom.

Structure (POSCAR):
```
TlAsIrBr2
1.0
5.530 0.000 0.000
0.000 5.530 0.000
0.000 0.000 4.604
Tl As Ir Br
1 1 1 2
Direct
0.000 0.000 0.000
0.500 0.500 0.000
0.500 0.500 0.500
0.000 0.500 0.500
0.500 0.000 0.500
```

***

| no. | total moment (μB/cell) | volume (Å³/cell) |
| --- | --- | --- |
| 1 | 0.00 | 64.56 |
| 2 | 0.00 | 71.86 |
| 3 | 0.00 | 375.51 |
| 4 | 0.01 | 130.05 |
| 5 | 0.00 | 316.71 |
| 6 | 0.00 | 361.40 |
| 7 | 0.00 | 195.04 |
| 8 | 0.00 | 140.82 |